DFT (PBE-GGA) results for a relaxed La6Sn2H crystal.

a b c (Å): 7.1985 7.1985 5.7041
angles (deg): 90.00 90.00 120.00
Last column: nearest neighbours and their distance in Å.
Space group P-3m1 (No. 164)
One atom of each set of equivalent atoms:
La  0.1771  0.3542  0.2544 (multiplicity 6)  1 H 2.64
Sn  0.3333  0.6667  0.7512 (multiplicity 2)  12 La 3.44-3.60
H  0.0000  0.0000  0.0000 (multiplicity 1)  6 La 2.64

Properties
Final energy   -0.1856 Ha/atom
Calculated volume   256 Å³ per cell
Total moment   0.00 μB/cell

DFT (PBE-GGA) results for a relaxed TaTiPtRh2 crystal.

a b c (Å): 4.4200 4.4200 4.7181
angles (deg): 90.00 90.00 90.00
Last column: nearest neighbours and their distance in Å.
Space group P4/mmm (No. 123)
One atom of each set of equivalent atoms:
Ta  0.0000  0.0000  0.0000 (multiplicity 1)  4 Pt 3.13, 8 Rh 3.23
Ti  0.5000  0.5000  0.5000 (multiplicity 1)  4 Rh 2.21, 2 Pt 2.36
Pt  0.5000  0.5000  0.0000 (multiplicity 1)  2 Ti 2.36
Rh  0.0000  0.5000  0.5000 (multiplicity 2)  2 Ti 2.21

Properties
Energy relative to the elements   0.62 eV/atom
Final energy   -0.2746 Ha/atom
Calculated volume   92 Å³ per cell
Total moment   0.97 μB/cell